[1]
Density functional theory data (PBE) for a relaxed structure of Dy3Y2Er5.

Unit cell a=10.6129 b=15.4996 c=9.4620 alpha=90.00 beta=124.00 gamma=90.00
Last column: nearest neighbours and their distance in Å.
Space group C2/c (No. 15)
One atom of each set of equivalent atoms:
Dy 0.0000 0.2285 0.2500 x4  3 Er 3.21-3.52, 4 Y 3.28-3.47, 2 Dy 3.44
Dy 0.1453 0.1256 0.0487 x8  1 Y 3.17, 6 Er 3.27-3.50, 1 Dy 3.44
Y 0.1531 0.3777 0.5473 x8  3 Dy 3.17-3.47, 5 Er 3.28-3.53
Er 0.0000 0.0218 0.2500 x4  5 Dy 3.21-3.45, 2 Y 3.43, 2 Er 3.47
Er 0.0000 0.2730 0.7500 x4  1 Er 3.11, 2 Dy 3.27
Er 0.0000 0.4737 0.7500 x4  1 Er 3.11, 4 Y 3.28-3.47
Er 0.2408 0.3773 0.2305 x8  3 Dy 3.47-3.61, 3 Er 3.47-3.53, 2 Y 3.48-3.60

Results
energy of formation from the pure elements	205	meV/atom
calculated density	7.73	Mg/m³
volume	323	Å³/f.u.
magnetic moment	0.00	μB/f.u.

=====

[2]
Density functional theory data (PBE) for a relaxed structure of Dy12YEr6.

Unit cell a=11.8258 b=11.8258 c=15.1171 alpha=90.00 beta=90.00 gamma=120.00
Last column: nearest neighbours and their distance in Å.
Space group R-3 (No. 148, hexagonal axes)
One atom of each set of equivalent atoms:
Dy 0.0135 0.1802 0.1912 x18  4 Dy 3.41-3.56, 4 Er 3.48-3.66, 1 Y 3.55
Dy 0.0414 0.1911 0.4160 x18  3 Er 3.24-3.43, 6 Dy 3.27-3.57
Y 0.0000 0.0000 0.0000 x3  6 Er 3.45, 6 Dy 3.55
Er 0.0107 0.5874 0.6812 x18  6 Dy 3.24-3.58, 1 Y 3.45, 2 Er 3.47

Results
energy of formation from the pure elements	158	meV/atom
calculated density	8.28	Mg/m³
volume	610	Å³/f.u.
magnetic moment	0.00	μB/f.u.

=====

[3]
Density functional theory data (PBE) for a relaxed structure of DyY5Er12.

Unit cell a=10.5805 b=4.9826 c=10.5934 alpha=90.00 beta=90.14 gamma=90.00
Last column: nearest neighbours and their distance in Å.
Space group P2/m (No. 10)
One atom of each set of equivalent atoms:
Dy 0.0000 0.0000 0.0000 x1  4 Y 3.52, 8 Er 3.53-3.54
Y 0.1662 0.5000 0.8338 x2  2 Dy 3.52, 8 Er 3.53-3.55, 2 Y 3.53
Y 0.3334 0.0000 0.6666 x2  4 Y 3.53, 8 Er 3.54-3.55
Y 0.5000 0.5000 0.5000 x1  4 Y 3.53, 8 Er 3.54-3.55
Er 0.0013 0.0000 0.3342 x2  8 Er 3.50-3.53, 3 Y 3.54, 1 Dy 3.54
Er 0.1653 0.5000 0.4987 x2  8 Er 3.50-3.53, 4 Y 3.54-3.55
Er 0.1674 0.5000 0.1674 x2  8 Er 3.50-3.53, 2 Y 3.53, 2 Dy 3.53
Er 0.3320 0.0000 0.3320 x2  8 Er 3.50-3.53, 4 Y 3.54
Er 0.3342 0.0000 0.0013 x2  8 Er 3.50-3.53, 3 Y 3.54-3.55, 1 Dy 3.54
Er 0.4986 0.5000 0.1653 x2  8 Er 3.50-3.53, 4 Y 3.54-3.55

Results
energy of formation from the pure elements	26	meV/atom
calculated density	7.77	Mg/m³
volume	558	Å³/f.u.
magnetic moment	0.00	μB/f.u.

=====

[4]
Density functional theory data (PBE) for a relaxed structure of Dy5Y4Er.

Unit cell a=10.5723 b=10.5723 c=5.8899 alpha=90.00 beta=90.00 gamma=90.00
Last column: nearest neighbours and their distance in Å.
Space group I4mm (No. 107)
One atom of each set of equivalent atoms:
Dy 0.0000 0.0000 0.0000 x2  1 Er 2.78
Dy 0.1882 0.1882 0.7358 x8  3 Dy 3.22-3.48, 1 Er 3.22, 2 Y 3.30
Y 0.0000 0.3215 0.2372 x8  3 Dy 3.30-3.67, 1 Er 3.67
Er 0.0000 0.0000 0.4714 x2  1 Dy 2.78

Results
energy of formation from the pure elements	250	meV/atom
calculated density	6.74	Mg/m³
volume	329	Å³/f.u.
magnetic moment	0.00	μB/f.u.

=====

[5]
Density functional theory data (PBE) for a relaxed structure of DyY7Er4.

Unit cell a=12.0340 b=5.8498 c=12.6739 alpha=90.00 beta=117.93 gamma=90.00
Last column: nearest neighbours and their distance in Å.
Space group C2/m (No. 12)
One atom of each set of equivalent atoms:
Dy 0.0000 0.0000 0.0000 x2  4 Y 2.92-3.12
Y 0.0000 0.5000 0.0000 x2  2 Dy 2.92, 2 Y 3.14
Y 0.0613 0.0000 0.3200 x4  4 Y 3.29-3.56, 3 Er 3.62-3.66
Y 0.1342 0.5000 0.5008 x4  4 Y 3.22-3.56, 5 Er 3.27-3.56
Y 0.2114 0.0000 0.9235 x4  1 Dy 3.12, 4 Y 3.14-3.39, 4 Er 3.27-3.38
Er 0.1391 0.5000 0.7748 x4  7 Y 3.37-3.62, 2 Er 3.60
Er 0.2436 0.0000 0.6811 x4  4 Y 3.27-3.56, 2 Er 3.60

Results
energy of formation from the pure elements	304	meV/atom
calculated density	6.13	Mg/m³
volume	394	Å³/f.u.
magnetic moment	0.38	μB/f.u.

=====

[6]
Density functional theory data (PBE) for a relaxed structure of Dy12Y5Er2.

Unit cell a=15.7965 b=9.1264 c=8.5278 alpha=90.00 beta=91.34 gamma=90.00
Last column: nearest neighbours and their distance in Å.
Space group C2/m (No. 12)
One atom of each set of equivalent atoms:
Dy 0.0572 0.0000 0.3373 x4  7 Dy 3.35-3.47, 2 Y 3.39-3.61, 2 Er 3.40
Dy 0.0893 0.5000 0.8859 x4  2 Er 3.42, 5 Dy 3.42-3.59, 3 Y 3.43-3.55
Dy 0.1267 0.1939 0.6662 x8  4 Y 3.37-3.70, 5 Dy 3.40-3.55, 1 Er 3.52
Dy 0.1532 0.3178 0.2424 x8  4 Dy 3.33-3.59, 1 Er 3.40, 4 Y 3.48-3.70
Y 0.0000 0.5000 0.5000 x2  10 Dy 3.55-3.70, 2 Y 3.72
Y 0.1997 0.0000 0.0124 x4  8 Dy 3.43-3.62, 2 Er 3.54, 1 Y 3.68
Y 0.2330 0.5000 0.5720 x4  10 Dy 3.37-3.74, 2 Y 3.68-3.72
Er 0.0000 0.1766 0.0000 x4  1 Er 3.22, 8 Dy 3.40-3.52, 2 Y 3.54

Results
energy of formation from the pure elements	122	meV/atom
calculated density	7.37	Mg/m³
volume	615	Å³/f.u.
magnetic moment	0.00	μB/f.u.

=====

[7]
Density functional theory data (PBE) for a relaxed structure of Dy3YEr5.

Unit cell a=16.2990 b=8.7070 c=10.9715 alpha=90.00 beta=132.16 gamma=90.00
Last column: nearest neighbours and their distance in Å.
Space group C2/c (No. 15)
One atom of each set of equivalent atoms:
Dy 0.0000 0.0000 0.0000 x4  6 Er 3.30-3.51
Dy 0.2183 0.0321 0.4680 x8  7 Er 3.52-3.78, 2 Y 3.61-3.69, 3 Dy 3.81-3.87
Y 0.0000 0.3282 0.2500 x4  2 Er 3.21
Er 0.0000 0.2363 0.7500 x4  4 Er 3.05-3.40
Er 0.0961 0.3796 0.6157 x8  4 Er 3.04-3.16, 1 Y 3.21
Er 0.1808 0.2826 0.1645 x8  3 Er 3.04-3.40, 1 Dy 3.30

Results
energy of formation from the pure elements	230	meV/atom
calculated density	8.13	Mg/m³
volume	289	Å³/f.u.
magnetic moment	0.00	μB/f.u.

=====

[8]
Density functional theory data (PBE) for a relaxed structure of Dy7Y3Er2.

Unit cell a=6.4913 b=6.4913 c=33.0170 alpha=90.00 beta=90.00 gamma=120.00
Last column: nearest neighbours and their distance in Å.
Space group R-3m (No. 166, hexagonal axes)
One atom of each set of equivalent atoms:
Dy 0.0000 0.0000 0.0000 x3  6 Dy 3.30
Dy 0.0040 0.5020 0.4153 x18  5 Dy 3.21-3.30, 2 Er 3.36-3.37
Y 0.0000 0.0000 0.3489 x6  12 Dy 3.71-3.92, 3 Y 3.89
Y 0.0000 0.0000 0.5000 x3  6 Er 3.75
Er 0.0000 0.0000 0.1664 x6  6 Dy 3.36-3.37, 3 Y 3.75, 3 Er 3.75

Results
energy of formation from the pure elements	276	meV/atom
calculated density	7.19	Mg/m³
volume	402	Å³/f.u.
magnetic moment	0.00	μB/f.u.

=====

[9]
Density functional theory data (PBE) for a relaxed structure of Dy2Y8Er3.

Unit cell a=20.2679 b=7.5953 c=5.6183 alpha=90.00 beta=90.02 gamma=90.00
Last column: nearest neighbours and their distance in Å.
Space group C2/m (No. 12)
One atom of each set of equivalent atoms:
Dy 0.2415 0.0000 0.4993 x4  8 Y 3.35-3.57
Y 0.1071 0.2878 0.5002 x8  1 Er 3.08, 1 Y 3.22
Y 0.1330 0.0000 0.9998 x4  2 Er 3.45, 2 Dy 3.56-3.57, 4 Y 3.60
Y 0.1683 0.5000 0.0006 x4  2 Dy 3.35, 4 Y 3.47
Er 0.0000 0.0000 0.5000 x2  4 Y 3.08
Er 0.0000 0.2827 0.0000 x4  3 Er 3.30-3.54, 6 Y 3.45-3.55

Results
energy of formation from the pure elements	240	meV/atom
calculated density	5.91	Mg/m³
volume	432	Å³/f.u.
magnetic moment	0.00	μB/f.u.

=====

[10]
Density functional theory data (PBE) for a relaxed structure of DyY2Er4.

Unit cell a=6.2027 b=6.4546 c=11.3979 alpha=90.00 beta=105.21 gamma=90.00
Last column: nearest neighbours and their distance in Å.
Space group P2_1/m (No. 11)
One atom of each set of equivalent atoms:
Dy 0.0216 0.2500 0.3488 x2  6 Er 3.33-3.43, 2 Y 3.41-3.62
Y 0.1359 0.2500 0.9371 x2  9 Er 3.31-3.49
Y 0.3872 0.7500 0.5016 x2  2 Dy 3.41-3.62, 6 Er 3.41-3.64, 2 Y 3.52
Er 0.1652 0.2500 0.6513 x2  3 Y 3.31-3.64, 3 Dy 3.33-3.43, 2 Er 3.36
Er 0.3014 0.7500 0.9352 x2  1 Dy 3.33, 4 Y 3.39-3.41, 4 Er 3.43-3.47
Er 0.3596 0.5021 0.2122 x4  5 Er 3.20-3.47, 1 Dy 3.34, 2 Y 3.48-3.49

Results
energy of formation from the pure elements	138	meV/atom
calculated density	7.61	Mg/m³
volume	220	Å³/f.u.
magnetic moment	0.00	μB/f.u.

=====

[11]
Density functional theory data (PBE) for a relaxed structure of Dy3Y4Er8.

Unit cell a=6.8821 b=6.8821 c=35.0670 alpha=90.00 beta=90.00 gamma=120.00
Last column: nearest neighbours and their distance in Å.
Space group R-3m (No. 166, hexagonal axes)
One atom of each set of equivalent atoms:
Dy 0.0000 0.5000 0.0000 x9  6 Er 3.38-3.52, 4 Dy 3.44, 2 Y 3.44
Y 0.0000 0.0000 0.0000 x3  6 Dy 3.44, 6 Er 3.53
Y 0.0000 0.0000 0.1638 x6  4 Er 3.21-3.47
Y 0.0000 0.0000 0.5000 x3  6 Er 3.54
Er 0.0000 0.0000 0.2554 x6  1 Y 3.21, 3 Dy 3.38, 6 Er 3.45
Er 0.0019 0.5010 0.2504 x18  6 Er 3.42-3.46, 3 Y 3.47-3.54, 2 Dy 3.52

Results
energy of formation from the pure elements	135	meV/atom
calculated density	7.55	Mg/m³
volume	479	Å³/f.u.
magnetic moment	0.00	μB/f.u.

=====

[12]
Density functional theory data (PBE) for a relaxed structure of Dy3Y2Er5.

Unit cell a=12.7133 b=16.9558 c=6.2139 alpha=90.00 beta=90.00 gamma=90.00
Last column: nearest neighbours and their distance in Å.
Space group Ibam (No. 72)
One atom of each set of equivalent atoms:
Dy 0.0000 0.0000 0.2500 x4  2 Dy 3.11, 2 Er 3.19, 4 Y 3.33
Dy 0.1593 0.2512 0.0000 x8  4 Y 3.44-3.66, 4 Er 3.47-3.65
Y 0.0995 0.1569 0.5000 x8  1 Er 3.18, 3 Dy 3.33-3.44
Er 0.0000 0.5000 0.2500 x4  8 Er 3.11-3.31
Er 0.0995 0.3443 0.5000 x8  1 Y 3.18, 2 Er 3.31, 1 Dy 3.47
Er 0.2490 0.5000 0.2500 x8  3 Er 3.11-3.17, 1 Dy 3.19

Results
energy of formation from the pure elements	358	meV/atom
calculated density	7.45	Mg/m³
volume	335	Å³/f.u.
magnetic moment	0.00	μB/f.u.

=====

[13]
Density functional theory data (PBE) for a relaxed structure of Dy5YEr12.

Unit cell a=10.5580 b=4.9739 c=10.5706 alpha=90.00 beta=90.14 gamma=90.00
Last column: nearest neighbours and their distance in Å.
Space group P2/m (No. 10)
One atom of each set of equivalent atoms:
Dy 0.0000 0.0000 0.0000 x1  8 Er 3.52-3.53, 4 Dy 3.52
Dy 0.1667 0.5000 0.8332 x2  4 Dy 3.52, 8 Er 3.52-3.53
Dy 0.3328 0.0000 0.6671 x2  2 Dy 3.52, 8 Er 3.52-3.54, 2 Y 3.53
Y 0.5000 0.5000 0.5000 x1  4 Dy 3.53, 8 Er 3.53
Er 0.0003 0.0000 0.3337 x2  8 Er 3.51-3.52, 4 Dy 3.52-3.53
Er 0.1658 0.5000 0.4996 x2  8 Er 3.50-3.52, 3 Dy 3.52-3.53, 1 Y 3.53
Er 0.1670 0.5000 0.1671 x2  8 Er 3.50-3.52, 4 Dy 3.52-3.53
Er 0.3323 0.0000 0.3324 x2  8 Er 3.50-3.52, 2 Y 3.53, 2 Dy 3.54
Er 0.3337 0.0000 0.0003 x2  8 Er 3.51-3.52, 4 Dy 3.52
Er 0.4996 0.5000 0.1658 x2  8 Er 3.51-3.52, 3 Dy 3.52, 1 Y 3.53

Results
energy of formation from the pure elements	23	meV/atom
calculated density	8.70	Mg/m³
volume	555	Å³/f.u.
magnetic moment	0.01	μB/f.u.

=====

[14]
Density functional theory data (PBE) for a relaxed structure of Dy6Y3Er.

Unit cell a=11.0265 b=19.0014 c=6.1552 alpha=90.00 beta=90.00 gamma=90.00
Last column: nearest neighbours and their distance in Å.
Space group Cmc2_1 (No. 36)
One atom of each set of equivalent atoms:
Dy 0.0000 0.0476 0.0000 x4  1 Er 3.31, 4 Y 3.52-3.63, 2 Dy 3.57
Dy 0.0000 0.2819 0.7127 x4  4 Dy 3.22-3.39, 1 Y 3.35, 2 Er 3.37-3.40
Dy 0.1648 0.4532 0.6060 x8  6 Dy 3.41-3.78, 4 Y 3.41-3.59
Dy 0.2471 0.2893 0.4355 x8  5 Dy 3.22-3.42, 2 Y 3.28-3.58, 2 Er 3.28-3.42
Y 0.0000 0.3900 0.1422 x4  5 Dy 3.35-3.59, 1 Er 3.50, 2 Y 3.71
Y 0.1694 0.1091 0.5324 x8  6 Dy 3.28-3.63, 1 Er 3.28
Er 0.0000 0.2075 0.2153 x4  7 Dy 3.28-3.42, 3 Y 3.28-3.50

Results
energy of formation from the pure elements	142	meV/atom
calculated density	7.26	Mg/m³
volume	322	Å³/f.u.
magnetic moment	0.00	μB/f.u.

=====

[15]
Density functional theory data (PBE) for a relaxed structure of Dy2Y8Er3.

Unit cell a=11.6907 b=20.5644 c=3.5149 alpha=90.00 beta=90.00 gamma=90.00
Last column: nearest neighbours and their distance in Å.
Space group Pbam (No. 55)
One atom of each set of equivalent atoms:
Dy 0.1790 0.0985 0.0000 x4  3 Y 3.27-3.47, 4 Er 3.40-3.41, 2 Dy 3.51
Y 0.0455 0.5722 0.0000 x4  5 Y 3.16-3.51, 1 Dy 3.27, 2 Er 3.38
Y 0.0549 0.8425 0.5000 x4  2 Er 3.11-3.30, 2 Dy 3.47
Y 0.1284 0.2843 0.0000 x4  7 Y 3.51-3.94, 4 Er 3.61-3.68, 1 Dy 3.87
Y 0.2086 0.4494 0.5000 x4  7 Y 3.48-3.62, 1 Er 3.56, 2 Dy 3.77
Er 0.0000 0.0000 0.5000 x2  4 Y 3.30-3.56, 4 Dy 3.40, 2 Er 3.51
Er 0.1465 0.7003 0.5000 x4  3 Y 3.11-3.38, 2 Dy 3.41

Results
energy of formation from the pure elements	142	meV/atom
calculated density	6.04	Mg/m³
volume	423	Å³/f.u.
magnetic moment	0.00	μB/f.u.

=====

[16]
Density functional theory data (PBE) for a relaxed structure of Dy4Y4Er3.

Unit cell a=3.5250 b=11.2017 c=18.1789 alpha=90.00 beta=90.00 gamma=90.00
Last column: nearest neighbours and their distance in Å.
Space group Immm (No. 71)
One atom of each set of equivalent atoms:
Dy 0.0000 0.2424 0.1701 x8  4 Y 3.14-3.49, 2 Dy 3.40
Y 0.0000 0.2927 0.0000 x4  2 Dy 3.14, 4 Er 3.51
Y 0.0000 0.5000 0.2783 x4  6 Dy 3.37-3.49, 2 Y 3.53, 2 Er 3.57
Er 0.0000 0.0000 0.3924 x4  6 Y 3.51-3.57, 3 Er 3.53-3.91, 4 Dy 3.57
Er 0.0000 0.5000 0.5000 x2  2 Er 3.53, 4 Y 3.72

Results
energy of formation from the pure elements	194	meV/atom
calculated density	6.97	Mg/m³
volume	359	Å³/f.u.
magnetic moment	0.00	μB/f.u.

=====

[17]
Density functional theory data (PBE) for a relaxed structure of Dy5YEr7.

Unit cell a=6.6410 b=11.0383 c=11.4592 alpha=90.00 beta=90.00 gamma=90.00
Last column: nearest neighbours and their distance in Å.
Space group Imm2 (No. 44)
One atom of each set of equivalent atoms:
Dy 0.0000 0.0000 0.0000 x2  6 Er 3.32-3.45, 4 Dy 3.38
Dy 0.2316 0.2725 0.0046 x8  2 Dy 3.08-3.38, 3 Er 3.08-3.44
Y 0.0000 0.5000 0.2011 x2  7 Er 3.54-3.87, 4 Dy 3.71
Er 0.0000 0.0000 0.5044 x2  4 Dy 3.08, 4 Er 3.41-3.42
Er 0.0000 0.1675 0.2541 x4  4 Er 3.41-3.76, 5 Dy 3.44-3.45, 1 Y 3.72
Er 0.0000 0.1718 0.7526 x4  5 Dy 3.41-3.46, 5 Er 3.42-3.79
Er 0.0000 0.5000 0.5104 x2  6 Dy 3.32-3.50, 1 Er 3.48, 1 Y 3.54
Er 0.0000 0.5000 0.8145 x2  7 Er 3.48-3.86, 4 Dy 3.66

Results
energy of formation from the pure elements	255	meV/atom
calculated density	8.19	Mg/m³
volume	420	Å³/f.u.
magnetic moment	0.01	μB/f.u.